(1)
Crystalline Re2RuBr at its relaxed geometry, computed with PBE-GGA.

```
4
Lattice="-1.971 3.014 3.532 -1.786 0.370 4.703 4.103 1.071 1.770" Properties=species:S:1:pos:R:3 pbc="T T T"
Re 3.866 1.151 1.988
Re 0.194 3.293 7.405
Ru 0.391 2.164 4.824
Br 0.169 1.146 2.560
```

Properties
SG: Cm
Mass density, g/cm³: 14.315
ΔE_f (raw), eV/atom: 0.9013


(2)
Crystalline Re2RuBr at its relaxed geometry, computed with PBE-GGA.

```
4
Lattice="5.291 -0.002 0.004 2.519 4.653 -0.004 -3.334 -3.286 2.468" Properties=species:S:1:pos:R:3 pbc="T T T"
Ru 3.774 2.247 0.000
Re 0.099 0.059 0.000
Re 2.977 -0.454 1.236
Br 1.533 1.839 1.232
```

Properties
SG: Imm2
Mass density, g/cm³: 15.131
ΔE_f (raw), eV/atom: 0.9857


(3)
Crystalline Re2RuBr at its relaxed geometry, computed with PBE-GGA.

```
4
Lattice="4.547 0.000 0.000 0.000 3.739 0.000 0.000 0.000 3.739" Properties=species:S:1:pos:R:3 pbc="T T T"
Br 2.273 0.000 1.870
Re 0.000 0.000 0.000
Re 0.000 1.870 1.870
Ru 2.273 1.870 0.000
```

Properties
SG: P4/mmm
Mass density, g/cm³: 14.457
ΔE_f (raw), eV/atom: 1.4441


(4)
Crystalline Re2RuBr at its relaxed geometry, computed with PBE-GGA.

```
4
Lattice="4.915 0.023 0.000 -2.177 4.406 0.000 0.000 0.000 2.900" Properties=species:S:1:pos:R:3 pbc="T T T"
Ru 2.457 0.012 1.450
Re 0.000 0.000 0.000
Re 1.369 2.215 0.000
Br -1.089 2.203 1.450
```

Properties
SG: Cmmm
Mass density, g/cm³: 14.595
ΔE_f (raw), eV/atom: 1.2374


Quick rundown of DFT total energy, same order as above: -32.2; -31.9; -30.1; -30.9 eV/cell